Material: Mg6FeNiO8
Method: DFT, PBE+U
State: relaxed

a = 4.2854 Å, b = 4.2854 Å, c = 8.4855 Å
α = 90.00°, β = 90.00°, γ = 90.00°
Closest atoms and distances in Å follow each position.
Sites, in units of the cell vectors:
Fe1 0.0000 0.0000 0.0000  6 O 2.14
Mg1 0.5000 0.5000 0.0000  6 O 2.13-2.14
O1 0.5000 0.5000 0.2507  6 Mg 2.12-2.14
Mg2 0.0000 0.5000 0.7490  6 O 2.11-2.14
O2 0.5000 0.0000 0.5000  4 Mg 2.11-2.14, 2 Ni 2.14
O3 0.0000 0.5000 0.5000  4 Mg 2.11-2.14, 2 Ni 2.14
Mg3 0.5000 0.0000 0.7490  6 O 2.11-2.14
O4 0.0000 0.0000 0.7473  1 Ni 2.10, 4 Mg 2.14, 1 Fe 2.14
O5 0.5000 0.5000 0.7493  6 Mg 2.12-2.14
Mg4 0.0000 0.5000 0.2510  6 O 2.11-2.14
O6 0.5000 0.0000 0.0000  4 Mg 2.13-2.14, 2 Fe 2.14
O7 0.0000 0.5000 0.0000  4 Mg 2.13-2.14, 2 Fe 2.14
O8 0.0000 0.0000 0.2527  1 Ni 2.10, 4 Mg 2.14, 1 Fe 2.14
Mg5 0.5000 0.0000 0.2510  6 O 2.11-2.14
Ni1 0.0000 0.0000 0.5000  6 O 2.10-2.14
Mg6 0.5000 0.5000 0.5000  6 O 2.12-2.14

Summary:
crystal system: tetragonal
calculated volume: 9.74 Å³ per atom
distance to the lowest polymorph of the same formula: 0 meV per atom
final energy: -5.920 eV/atom
total magnetic moment: 5.99 μB per cell